Below is a geometry-optimized Na3Np3AuS8 structure, with properties calculated at the PBE-GGA level.

Cell and atoms, written as extended XYZ:
```
15
Lattice="-4.0309 -5.8506 3.9598 6.8383 2.6506 2.5237 -6.3099 4.7988 0.6671" Properties=species:S:1:pos:R:3 pbc="T T T"
S 0.7428 1.1584 2.4676
S -1.2097 -1.6540 4.6785
S -2.6658 -0.3959 1.4218
S -2.2928 3.2528 2.4721
S 0.9164 4.5394 4.0066
S -4.4190 -2.9406 3.1440
S -4.2453 0.4405 4.6830
S -0.8368 1.9947 5.7288
Na 3.4191 1.3253 1.2619
Na 0.0000 0.0000 0.0000
Na 1.4037 -1.6000 3.2417
Au -3.1549 2.3994 0.3336
Np -1.7513 0.7994 3.5753
Np -5.1704 -0.5259 2.3134
Np 0.2642 3.7247 1.5954
```

Properties
Its space group is C2/m, No. 12.



Below is a geometry-optimized NaNpSbAu structure, with properties calculated at the PBE-GGA level.

Cell and atoms, written as extended XYZ:
```
4
Lattice="-1.9807 0.7851 -4.7200 -5.0864 -0.5547 -0.7987 -2.9466 4.1597 -0.9125" Properties=species:S:1:pos:R:3 pbc="T T T"
Au 0.0000 0.0000 0.0000
Np -2.5034 1.0975 -1.6078
Na -7.5102 3.2925 -4.8233
Sb -5.0068 2.1950 -3.2156
```

Properties
Its space group is F-43m, No. 216.



Below is a geometry-optimized Na2NpAu2Se4 structure, with properties calculated at the PBE-GGA level.

Cell and atoms, written as extended XYZ:
```
9
Lattice="-3.2309 0.1803 2.5766 4.3909 -2.5597 5.6851 1.5085 7.3862 -1.9455" Properties=species:S:1:pos:R:3 pbc="T T T"
Se 1.6502 2.5625 5.2102
Se 1.6360 -1.7532 5.4944
Se 1.0326 6.7599 0.8218
Se 1.0184 2.4442 1.1060
Np 0.0000 0.0000 0.0000
Na 0.1219 4.5485 3.1549
Na 2.5466 0.4582 3.1613
Au 4.2905 2.2163 5.2250
Au -1.6219 2.7904 1.0912
```

Properties
Its space group is C2/m, No. 12.



Below is a geometry-optimized Na3Np3AuSe8 structure, with properties calculated at the PBE-GGA level.

Cell and atoms, written as extended XYZ:
```
15
Lattice="8.3962 0.0000 0.0000 -4.1981 6.9048 0.0137 0.0000 -4.5385 6.9874" Properties=species:S:1:pos:R:3 pbc="T T T"
Np 2.0991 1.1831 3.5005
Np -2.0991 1.1831 3.5005
Np 4.1981 -2.2693 3.4937
Se 1.8892 3.3940 5.1746
Se 2.3089 -1.0278 1.8264
Se 6.0873 -1.0278 1.8264
Se 0.0000 -0.1288 4.9707
Se -1.8892 3.3940 5.1746
Se 0.0000 2.2929 1.8671
Se 4.1981 2.4951 2.0303
Se 4.1981 0.0734 5.1340
Na 0.0000 0.0000 0.0000
Na 2.0991 3.4524 0.0068
Na -2.0991 3.4524 0.0068
Au 0.0000 -2.2693 3.4937
```

Properties
Its space group is C2/m, No. 12.



Below is a geometry-optimized NaNpAuSe3 structure, with properties calculated at the PBE-GGA level.

Cell and atoms, written as extended XYZ:
```
12
Lattice="-4.0070 -0.1080 -0.9391 -0.6597 -7.4237 3.6692 -1.7570 6.1792 6.7863" Properties=species:S:1:pos:R:3 pbc="T T T"
Se -3.5511 -2.3914 1.8907
Se -3.8716 -5.8557 3.6566
Se -2.8726 1.0389 7.6258
Se -2.5522 4.5032 5.8598
Se -4.1193 0.9747 3.9277
Se -2.3045 -2.3272 5.5888
Au -2.0414 2.4824 3.9127
Au -4.3824 -3.8350 5.6037
Na -4.9084 -1.2681 7.5532
Na -1.5153 -0.0844 1.9633
Np -4.6782 2.6710 6.1174
Np -1.7456 -4.0236 3.3990
```

Properties
Its space group is P2_1/m, No. 11.



Below is a geometry-optimized Na2NpTe4Au structure, with properties calculated at the PBE-GGA level.

Cell and atoms, written as extended XYZ:
```
8
Lattice="7.2679 0.0000 0.0000 3.6340 5.4730 0.0000 3.6340 0.0000 5.4730" Properties=species:S:1:pos:R:3 pbc="T T T"
Te 8.8899 0.0000 3.1655
Te 2.0120 2.3074 0.0000
Te 5.2559 0.0000 2.3074
Te 5.6460 3.1655 0.0000
Na 3.6340 2.7365 2.7365
Na 7.2679 2.7365 2.7365
Au 3.6340 0.0000 0.0000
Np 0.0000 0.0000 0.0000
```

Properties
Its space group is I-42m, No. 121.



Below is a geometry-optimized NaAuO2 structure, with properties calculated at the PBE-GGA level.

Cell and atoms, written as extended XYZ:
```
8
Lattice="4.6471 0.0000 0.0000 0.0000 4.6471 0.0000 2.3235 2.3235 5.9829" Properties=species:S:1:pos:R:3 pbc="T T T"
O 5.8088 6.0910 4.4872
O 3.4853 3.2031 4.4872
O 3.7675 1.1618 1.4957
O 0.8796 3.4853 1.4957
Au 4.6471 2.3235 2.9915
Au 0.0000 0.0000 0.0000
Na 2.3235 2.3235 0.0000
Na 2.3235 4.6471 2.9915
```

Properties
Its space group is I-42d, No. 122.



Below is a geometry-optimized Na8Au2O structure, with properties calculated at the PBE-GGA level.

Cell and atoms, written as extended XYZ:
```
11
Lattice="4.9844 0.0000 0.0000 0.0000 6.2379 -0.1867 -2.4922 -2.8824 8.3491" Properties=species:S:1:pos:R:3 pbc="T T T"
Na 2.4922 3.0600 4.4512
Na 2.4922 5.0307 1.8213
Na 2.4922 -1.4489 8.2220
Na 0.0000 -1.6752 6.3411
Na 0.0000 4.8045 -0.0596
Na 2.4922 1.7523 1.4989
Na 0.0000 0.2956 3.7111
Na 0.0000 1.6032 6.6635
Au 0.0000 3.2687 2.5627
Au 2.4922 0.0868 5.5997
O 2.4922 0.0000 0.0000
```

Properties
Its space group is C2/m, No. 12.



Below is a geometry-optimized NaAuO3 structure, with properties calculated at the PBE-GGA level.

Cell and atoms, written as extended XYZ:
```
5
Lattice="-1.0990 3.8650 0.4457 -2.3644 -0.2957 -3.2660 -3.0897 -1.1484 2.3408" Properties=species:S:1:pos:R:3 pbc="T T T"
O -1.1822 -0.1479 -1.6330
O -0.5495 1.9325 0.2228
O -1.5449 -0.5742 1.1704
Au 0.0000 0.0000 0.0000
Na -3.2766 1.2104 -0.2398
```

Properties
Its space group is Pm-3m, No. 221.



Below is a geometry-optimized Na2AuO structure, with properties calculated at the PBE-GGA level.

Cell and atoms, written as extended XYZ:
```
8
Lattice="8.9752 0.0000 0.0000 0.0000 8.9752 0.0000 4.4876 4.4876 2.3418" Properties=species:S:1:pos:R:3 pbc="T T T"
Na 4.1708 6.7314 0.5855
Na 11.2190 9.2919 1.7564
Na 4.8043 2.2438 0.5855
Na 6.7314 8.6584 1.7564
Au 8.9752 4.4876 1.1709
Au 0.0000 0.0000 0.0000
O 4.4876 4.4876 0.0000
O 4.4876 8.9752 1.1709
```

Properties
Its space group is I-42d, No. 122.



Below is a geometry-optimized Na4AuO2 structure, with properties calculated at the PBE-GGA level.

Cell and atoms, written as extended XYZ:
```
7
Lattice="3.8490 0.0000 0.0000 1.9245 3.3333 0.0000 1.9245 1.1111 9.0481" Properties=species:S:1:pos:R:3 pbc="T T T"
Na 1.9245 1.1111 3.6486
Na 3.8490 2.2222 1.9531
Na 3.8490 2.2222 7.0950
Na 5.7735 3.3333 5.3995
O 5.7735 3.3333 2.9160
O 1.9245 1.1111 6.1321
Au 0.0000 0.0000 0.0000
```

Properties
Its space group is R-3m, No. 166.



Below is a geometry-optimized Na2AuO2 structure, with properties calculated at the PBE-GGA level.

Cell and atoms, written as extended XYZ:
```
5
Lattice="-2.3034 -1.5372 -2.0431 -1.1385 -1.8456 2.6721 -2.6273 6.3722 1.0659" Properties=species:S:1:pos:R:3 pbc="T T T"
Au 0.0000 0.0000 0.0000
O -1.3063 1.4062 0.4147
O -4.7628 1.5832 1.2802
Na -2.8953 3.1167 0.9192
Na -3.1738 -0.1274 0.7758
```

Properties
Its space group is I4/mmm, No. 139.



Below is a geometry-optimized Na2AuO2 structure, with properties calculated at the PBE-GGA level.

Cell and atoms, written as extended XYZ:
```
10
Lattice="4.6299 0.0000 0.0000 -2.3149 5.3149 0.1910 0.0000 -2.6553 6.0043" Properties=species:S:1:pos:R:3 pbc="T T T"
O 2.3149 -1.9848 4.7439
O 2.3149 2.3842 2.3868
O 0.0000 4.6445 1.4514
O 0.0000 0.2755 3.8085
Na 0.0000 2.4436 2.7122
Na 2.3149 3.3550 4.5684
Na 0.0000 -0.6953 1.6269
Na 2.3149 0.2161 3.4832
Au 0.0000 1.0370 5.6594
Au 2.3149 1.6227 0.5359
```

Properties
Its space group is C2/m, No. 12.



Below is a geometry-optimized NaAu2O4 structure, with properties calculated at the PBE-GGA level.

Cell and atoms, written as extended XYZ:
```
14
Lattice="-1.2430 6.0636 -1.3020 -1.7590 0.9286 6.0043 5.2523 1.3618 1.3280" Properties=species:S:1:pos:R:3 pbc="T T T"
Na 1.7467 1.1452 3.6662
Na -0.6215 3.0318 -0.6510
Au 1.6654 5.3674 -0.3422
Au -1.3595 0.7177 4.6406
Au 2.3438 2.0581 0.3683
Au -0.3995 0.2109 1.3637
O 2.5773 5.9011 1.3787
O -0.9967 5.7206 3.9502
O -0.0489 5.2201 0.7146
O -0.3269 2.4531 4.6517
O 1.6294 6.4015 4.6142
O 2.2992 3.1340 5.3158
O 3.2471 2.6336 2.0802
O 0.6209 1.9526 1.4162
```

Properties
Its space group is P4_2/mmc, No. 131.



Below is a geometry-optimized Na3AuO2 structure, with properties calculated at the PBE-GGA level.

Cell and atoms, written as extended XYZ:
```
12
Lattice="6.0495 -0.0399 -2.1127 -3.3696 5.1554 -1.7691 0.1685 0.0399 6.4056" Properties=species:S:1:pos:R:3 pbc="T T T"
O 3.1932 0.0200 5.3493
O 2.1757 3.8566 0.3477
O 0.6728 1.2988 2.1761
O -1.6848 2.5777 -0.8845
Na 2.0656 1.5368 0.3329
Na -2.0206 3.8965 3.7399
Na -0.5571 1.0609 4.1318
Na 0.7829 3.6187 2.1909
Na 4.8690 1.2589 -1.2161
Na -2.6439 4.1344 0.5047
Au 2.4283 1.2988 3.3882
Au 0.4201 3.8566 -0.8643
```

Properties
Its space group is Imma, No. 74.



Below is a geometry-optimized NaAuO2 structure, with properties calculated at the PBE-GGA level.

Cell and atoms, written as extended XYZ:
```
8
Lattice="5.8436 -0.7721 -1.3488 -2.1411 5.3080 1.2413 -2.1411 -1.6172 5.2058" Properties=species:S:1:pos:R:3 pbc="T T T"
Au 2.2416 1.2086 2.2450
Au -0.6802 1.7100 2.8534
O 0.4315 0.8067 1.4092
O -1.7919 2.4980 4.3636
O 3.3533 0.4206 0.7348
O 1.1299 2.1119 3.6892
Na -0.6802 -1.1815 4.5087
Na 2.2416 4.1002 0.5896
```

Properties
Its space group is Imma, No. 74.



Below is a geometry-optimized Na2AuO structure, with properties calculated at the PBE-GGA level.

Cell and atoms, written as extended XYZ:
```
8
Lattice="-2.8273 0.9241 2.9341 1.1602 -3.1856 2.1213 3.9996 7.4700 1.5016" Properties=species:S:1:pos:R:3 pbc="T T T"
Na 2.6717 3.9944 2.9690
Na 0.1329 1.4445 4.3008
Na 0.9664 2.5752 1.7730
Na 0.6780 6.0494 3.3755
O 0.4059 3.7469 3.8375
O 2.3997 1.6920 3.4311
Au -0.1803 -0.4500 1.6198
Au -1.0139 -1.5808 4.1474
```

Properties
Its space group is Cmmm, No. 65.



Below is a geometry-optimized Na2AuO structure, with properties calculated at the PBE-GGA level.

Cell and atoms, written as extended XYZ:
```
8
Lattice="-2.1826 -2.6683 -1.1007 0.7843 -0.9487 6.6932 -4.5986 3.3437 1.0128" Properties=species:S:1:pos:R:3 pbc="T T T"
Na -2.5125 0.1446 4.6315
Na -1.1993 -2.0794 1.4705
Na -3.4844 -0.4179 1.9737
Na -4.7976 1.8061 5.1348
O -4.7290 -0.2299 3.9857
O -1.2679 -0.0435 2.6196
Au -4.8382 -1.0420 6.1711
Au -1.1587 0.7687 0.4342
```

Properties
Its space group is Cmcm, No. 63.



Below is a geometry-optimized NaAu2O4 structure, with properties calculated at the PBE-GGA level.

Cell and atoms, written as extended XYZ:
```
14
Lattice="1.4117 -2.7876 -5.4321 2.9212 -4.5875 3.1133 -6.5860 1.0221 1.3787" Properties=species:S:1:pos:R:3 pbc="T T T"
Au -1.5012 -4.9897 0.3631
Au -2.2070 -3.5959 3.0791
Au -0.3746 -1.8132 0.8331
Au 1.0860 -4.1070 2.3898
Na 2.1664 -3.6876 -1.1594
Na -1.5040 -2.7265 -2.6064
O -0.4365 -3.4374 -0.3420
O 1.0989 -2.9766 -3.4238
O 1.1203 -6.1384 -1.7958
O -3.0275 -0.9762 -1.4283
O 2.4633 -4.8632 1.1433
O -2.8961 -4.4157 -0.9588
O -5.1725 -0.4504 1.3592
O -2.1627 -2.1539 1.6858
```

Properties
Its space group is I4_1/a, No. 88.



Below is a geometry-optimized Na5AuO3 structure, with properties calculated at the PBE-GGA level.

Cell and atoms, written as extended XYZ:
```
18
Lattice="-3.4564 -1.1860 -0.5144 0.8591 -3.9332 3.1283 -8.4317 8.5052 11.3723" Properties=species:S:1:pos:R:3 pbc="T T T"
Na -4.7662 -0.4545 6.8086
Na -3.5585 2.2232 5.8553
Na -7.4822 5.2733 12.2239
Na -6.2628 3.8404 7.1776
Na -4.5816 0.6528 3.0440
Na -6.4474 2.7332 10.9422
Na -9.6879 6.9018 10.2328
Na -3.5468 -1.8874 1.7623
Na -7.4705 1.1628 8.1309
Na -1.3411 -3.5159 3.7534
O -8.7758 3.7541 11.1699
O -2.2532 -0.3682 2.8163
O -2.5657 -1.1316 6.8120
O -5.5145 1.6930 6.9931
O 0.0000 0.0000 0.0000
O -8.4633 4.5176 7.1742
Au -8.6241 4.1408 9.1813
Au -2.4049 -0.7549 4.8049
```

Properties
Its space group is P-1, No. 2.



Number 1: formation energy (no corrections) -1.10 eV per atom. Number 2: formation energy (no corrections) -0.22 eV per atom. Number 3: formation energy (no corrections) -0.74 eV per atom. Number 4: formation energy (no corrections) -0.97 eV per atom. Number 5: formation energy (no corrections) -0.85 eV per atom. Number 6: formation energy (no corrections) -0.48 eV per atom. Number 7: formation energy (no corrections) -0.31 eV per atom. Number 8: formation energy (no corrections) -0.41 eV per atom. Number 9: formation energy (no corrections) -0.05 eV per atom. Number 10: formation energy (no corrections) -0.57 eV per atom. Number 11: formation energy (no corrections) -0.83 eV per atom. Number 12: formation energy (no corrections) -0.95 eV per atom. Number 13: formation energy (no corrections) -0.88 eV per atom. Number 14: formation energy (no corrections) -0.32 eV per atom. Number 15: formation energy (no corrections) -0.87 eV per atom. Number 16: formation energy (no corrections) -0.68 eV per atom. Number 17: formation energy (no corrections) -0.70 eV per atom. Number 18: formation energy (no corrections) -0.71 eV per atom. Number 19: formation energy (no corrections) -0.42 eV per atom. Number 20: formation energy (no corrections) -1.09 eV per atom.